[1]
Density functional theory data (PBE) for ZrBe2Al after structural relaxation.

Summary:
E_tot = -5.14 eV per atom
SG = R3m (160)

abc: 3.679 3.679 14.763
angles: 90.00 90.00 120.00
Element x y z (fractional)
Zr: 0.000 0.000 0.000
Zr: 0.333 0.667 0.667
Zr: 0.667 0.333 0.333
Be: 0.000 0.000 0.452
Be: 0.000 0.000 0.784
Be: 0.333 0.667 0.118
Be: 0.333 0.667 0.450
Be: 0.667 0.333 0.117
Be: 0.667 0.333 0.785
Al: 0.000 0.000 0.197
Al: 0.333 0.667 0.863
Al: 0.667 0.333 0.530

---

[2]
Density functional theory data (PBE) for ZrBeAl3 after structural relaxation.

Summary:
Polymorph energy (0 for the lowest one) = 510 meV per atom
SG = Pm-3m (221)

abc: 4.387 4.387 4.387
angles: 90.00 90.00 90.00
Element x y z (fractional)
Zr: 0.000 0.000 0.000
Be: 0.500 0.500 0.500
Al: 0.000 0.500 0.500
Al: 0.500 0.000 0.500
Al: 0.500 0.500 0.000